Entry from the Alexandria database: a relaxed Er3Hg3Pb2 crystal (GGA-PBE).

As for the calculated formation energy: -0.29 eV per atom.

The structure belongs to space group R32 (No. 155, hexagonal axes); the cell edges are 8.5086, 8.5086 and 10.4903 Å and the angles 90.00°, 90.00° and 120.00°. The inequivalent atoms are Er at (0.0000, 0.6625, 0.0000), Hg at (0.0000, 0.2700, 0.5000) and Pb at (0.0000, 0.0000, 0.1639).